*i*
Material: Ga2SeI
Method: DFT, PBE
State: optimized geometry

a b c (Å): 5.259 5.259 5.259
angles (deg): 60.00 60.00 60.00
Fractional coordinates of all 4 atoms:
1 I 0.500 0.500 0.500
2 Ga 0.250 0.250 0.250
3 Ga 0.750 0.750 0.750
4 Se 0.000 0.000 0.000

Properties
* mass density: 5.57 g cm⁻³
* space-group type: Fm-3m, No. 225
* DOS at the Fermi energy: 2.3 states/eV per cell

---

*ii*
Material: Ga2SeI
Method: DFT, PBE
State: optimized geometry

a b c (Å): 7.585 7.585 6.858
angles (deg): 56.42 56.42 90.00
Fractional coordinates of all 8 atoms:
1 I 0.000 0.000 0.000
2 I 0.750 0.250 0.500
3 Ga 0.581 0.125 0.250
4 Ga 0.169 0.625 0.250
5 Ga 0.375 0.419 0.750
6 Ga 0.875 0.831 0.750
7 Se 0.500 0.500 0.000
8 Se 0.250 0.750 0.500

Properties
* mass density: 4.66 g cm⁻³
* space-group type: I-42d, No. 122
* DOS at the Fermi energy: 4.1 states/eV per cell

---

What should be chosen as the most stable of them? Choose *ii*.

---

*i*
Material: GaSe2I
Method: DFT, PBE
State: optimized geometry

a b c (Å): 8.562 8.562 8.562
angles (deg): 26.96 26.96 26.96
Fractional coordinates of all 4 atoms:
1 I 0.000 0.000 0.000
2 Ga 0.500 0.500 0.500
3 Se 0.888 0.888 0.888
4 Se 0.112 0.112 0.112

Properties
* mass density: 5.17 g cm⁻³
* space-group type: R-3m, No. 166
* DOS at the Fermi energy: 0.9 states/eV per cell

---

*ii*
Material: GaSe2I
Method: DFT, PBE
State: optimized geometry

a b c (Å): 7.168 7.168 6.971
angles (deg): 59.06 59.06 90.00
Fractional coordinates of all 8 atoms:
1 I 0.000 0.000 0.000
2 I 0.750 0.250 0.500
3 Ga 0.500 0.500 0.000
4 Ga 0.250 0.750 0.500
5 Se 0.547 0.125 0.250
6 Se 0.203 0.625 0.250
7 Se 0.375 0.453 0.750
8 Se 0.875 0.797 0.750

Properties
* mass density: 4.79 g cm⁻³
* space-group type: I-42d, No. 122
* DOS at the Fermi energy: 8.5 states/eV per cell

---

*iii*
Material: GaSe2I
Method: DFT, PBE
State: optimized geometry

a b c (Å): 5.375 5.375 5.375
angles (deg): 69.68 69.68 69.68
Fractional coordinates of all 4 atoms:
1 I 0.500 0.500 0.500
2 Ga 0.000 0.000 0.000
3 Se 0.815 0.815 0.815
4 Se 0.185 0.185 0.185

Properties
* mass density: 4.46 g cm⁻³
* space-group type: R-3m, No. 166
* DOS at the Fermi energy: 3.8 states/eV per cell

---

What should be chosen as the most stable of them? Choose *i*.

---

*i*
Material: GaTeSeI2
Method: DFT, PBE
State: optimized geometry

a b c (Å): 5.437 5.437 5.713
angles (deg): 90.00 90.00 90.00
Last column: magnetic moment on the atom in μB.
Fractional coordinates of all 5 atoms:
1 I 0.000 0.500 0.000  0.04
2 I 0.500 0.000 0.000  0.04
3 Te 0.000 0.000 0.500  -0.09
4 Ga 0.000 0.000 0.000  -0.01
5 Se 0.500 0.500 0.500  0.59

Properties
* mass density: 5.21 g cm⁻³
* space-group type: P4/mmm, No. 123
* DOS at the Fermi energy: 3.6 states/eV per cell

---

*ii*
Material: GaTeSeI2
Method: DFT, PBE
State: optimized geometry

a b c (Å): 5.785 5.785 5.623
angles (deg): 90.00 90.00 90.00
Fractional coordinates of all 5 atoms:
1 I 0.000 0.500 0.000
2 I 0.500 0.000 0.000
3 Te 0.000 0.000 0.500
4 Ga 0.500 0.500 0.500
5 Se 0.000 0.000 0.000

Properties
* mass density: 4.68 g cm⁻³
* space-group type: P4/mmm, No. 123
* DOS at the Fermi energy: 4.7 states/eV per cell

---

What should be chosen as the most stable of them? Choose *ii*.

---

*i*
Material: Ga3SiI
Method: DFT, PBE
State: optimized geometry

a b c (Å): 5.906 5.906 5.906
angles (deg): 90.00 90.00 90.00
Last column: magnetic moment on the atom in μB.
Fractional coordinates of all 5 atoms:
1 I 0.000 0.000 0.000  0.01
2 Si 0.500 0.500 0.500  0.42
3 Ga 0.000 0.500 0.000  0.02
4 Ga 0.000 0.000 0.500  0.04
5 Ga 0.500 0.000 0.000  0.03

Properties
* mass density: 2.94 g cm⁻³
* space-group type: Pm-3m, No. 221
* DOS at the Fermi energy: 3.5 states/eV per cell

---

*ii*
Material: Ga3SiI
Method: DFT, PBE
State: optimized geometry

a b c (Å): 5.087 5.087 5.087
angles (deg): 90.00 90.00 90.00
Fractional coordinates of all 5 atoms:
1 I 0.500 0.500 0.500
2 Si 0.000 0.000 0.000
3 Ga 0.000 0.500 0.000
4 Ga 0.000 0.000 0.500
5 Ga 0.500 0.000 0.000

Properties
* mass density: 4.59 g cm⁻³
* space-group type: Pm-3m, No. 221
* DOS at the Fermi energy: 2.0 states/eV per cell

---

What should be chosen as the most stable of them? Choose *ii*.

---

*i*
Material: GaSi2I
Method: DFT, PBE
State: optimized geometry

a b c (Å): 4.937 4.937 4.937
angles (deg): 60.00 60.00 60.00
Fractional coordinates of all 4 atoms:
1 I 0.500 0.500 0.500
2 Si 0.250 0.250 0.250
3 Si 0.750 0.750 0.750
4 Ga 0.000 0.000 0.000

Properties
* mass density: 4.93 g cm⁻³
* space-group type: Fm-3m, No. 225
* DOS at the Fermi energy: 2.6 states/eV per cell

---

*ii*
Material: GaSi2I
Method: DFT, PBE
State: optimized geometry

a b c (Å): 6.616 6.616 6.915
angles (deg): 61.42 61.42 90.00
Fractional coordinates of all 8 atoms:
1 I 0.000 0.000 0.000
2 I 0.750 0.250 0.500
3 Si 0.558 0.125 0.250
4 Si 0.192 0.625 0.250
5 Si 0.375 0.442 0.750
6 Si 0.875 0.808 0.750
7 Ga 0.500 0.500 0.000
8 Ga 0.250 0.750 0.500

Properties
* mass density: 3.77 g cm⁻³
* space-group type: I-42d, No. 122
* DOS at the Fermi energy: 5.1 states/eV per cell

---

What should be chosen as the most stable of them? Choose *ii*.

---

*i*
Material: GaSiTe2I
Method: DFT, PBE
State: optimized geometry

a b c (Å): 5.315 5.315 5.802
angles (deg): 90.00 90.00 90.00
Fractional coordinates of all 5 atoms:
1 I 0.000 0.000 0.500
2 Si 0.000 0.000 0.000
3 Te 0.000 0.500 0.000
4 Te 0.500 0.000 0.000
5 Ga 0.500 0.500 0.500

Properties
* mass density: 4.86 g cm⁻³
* space-group type: P4/mmm, No. 123
* DOS at the Fermi energy: 3.9 states/eV per cell

---

*ii*
Material: GaSiTe2I
Method: DFT, PBE
State: optimized geometry

a b c (Å): 5.399 5.399 5.491
angles (deg): 90.00 90.00 90.00
Fractional coordinates of all 5 atoms:
1 I 0.000 0.000 0.500
2 Si 0.500 0.500 0.500
3 Te 0.000 0.500 0.000
4 Te 0.500 0.000 0.000
5 Ga 0.000 0.000 0.000

Properties
* mass density: 4.98 g cm⁻³
* space-group type: P4/mmm, No. 123
* DOS at the Fermi energy: 4.6 states/eV per cell

---

What should be chosen as the most stable of them? Choose *i*.

---

*i*
Material: Sm2GaI
Method: DFT, PBE
State: optimized geometry

a b c (Å): 7.500 7.806 9.717
angles (deg): 105.94 104.70 109.22
Fractional coordinates of all 16 atoms:
1 Sm 0.587 0.861 0.127
2 Sm 0.040 0.265 0.127
3 Sm 0.413 0.139 0.873
4 Sm 0.960 0.735 0.873
5 Sm 0.302 0.575 0.623
6 Sm 0.178 0.951 0.377
7 Sm 0.698 0.425 0.377
8 Sm 0.822 0.049 0.623
9 Ga 0.321 0.071 0.141
10 Ga 0.679 0.929 0.859
11 Ga 0.055 0.805 0.609
12 Ga 0.945 0.195 0.391
13 I 0.429 0.679 0.358
14 I 0.195 0.445 0.889
15 I 0.571 0.321 0.642
16 I 0.805 0.555 0.111

Properties
* mass density: 6.91 g cm⁻³
* space-group type: C2/c, No. 15
* DOS at the Fermi energy: 8.1 states/eV per cell

---

*ii*
Material: Sm2GaI
Method: DFT, PBE
State: optimized geometry

a b c (Å): 3.630 3.630 8.358
angles (deg): 90.00 90.00 90.00
Fractional coordinates of all 4 atoms:
1 I 0.500 0.500 0.500
2 Ga 0.500 0.500 0.000
3 Sm 0.000 0.000 0.779
4 Sm 0.000 0.000 0.221

Properties
* mass density: 7.50 g cm⁻³
* space-group type: P4/mmm, No. 123
* DOS at the Fermi energy: 3.1 states/eV per cell

---

*iii*
Material: Sm2GaI
Method: DFT, PBE
State: optimized geometry

a b c (Å): 4.262 4.262 8.203
angles (deg): 74.94 74.94 60.00
Fractional coordinates of all 4 atoms:
1 Sm 0.068 0.068 0.795
2 Sm 0.265 0.265 0.204
3 Ga 0.668 0.668 0.996
4 I 0.498 0.498 0.505

Properties
* mass density: 6.71 g cm⁻³
* space-group type: R3m, No. 160
* DOS at the Fermi energy: 3.6 states/eV per cell

---

What should be chosen as the most stable of them? Choose *i*.

---

*i*
Material: Ga2Sn2I
Method: DFT, PBE
State: optimized geometry

a b c (Å): 8.662 8.662 3.626
angles (deg): 90.00 90.00 90.00
Fractional coordinates of all 10 atoms:
1 I 0.000 0.000 0.000
2 I 0.500 0.500 0.000
3 Sn 0.332 0.832 0.000
4 Sn 0.832 0.668 0.000
5 Sn 0.668 0.168 0.000
6 Sn 0.168 0.332 0.000
7 Ga 0.125 0.625 0.500
8 Ga 0.625 0.875 0.500
9 Ga 0.875 0.375 0.500
10 Ga 0.375 0.125 0.500

Properties
* mass density: 6.15 g cm⁻³
* space-group type: P4/mbm, No. 127
* DOS at the Fermi energy: 4.8 states/eV per cell

---

*ii*
Material: Ga2Sn2I
Method: DFT, PBE
State: optimized geometry

a b c (Å): 4.895 4.895 6.795
angles (deg): 68.89 68.89 90.00
Fractional coordinates of all 5 atoms:
1 I 0.000 0.000 0.000
2 Sn 0.376 0.376 0.248
3 Sn 0.624 0.624 0.752
4 Ga 0.750 0.250 0.500
5 Ga 0.250 0.750 0.500

Properties
* mass density: 5.97 g cm⁻³
* space-group type: I4/mmm, No. 139
* DOS at the Fermi energy: 2.8 states/eV per cell

---

What should be chosen as the most stable of them? Choose *ii*.

---

*i*
Material: Ga2Sn2I
Method: DFT, PBE
State: optimized geometry

a b c (Å): 8.486 8.486 3.763
angles (deg): 90.00 90.00 90.00
Fractional coordinates of all 10 atoms:
1 I 0.000 0.000 0.000
2 I 0.500 0.500 0.000
3 Sn 0.128 0.628 0.500
4 Sn 0.628 0.872 0.500
5 Sn 0.872 0.372 0.500
6 Sn 0.372 0.128 0.500
7 Ga 0.328 0.828 0.000
8 Ga 0.828 0.672 0.000
9 Ga 0.672 0.172 0.000
10 Ga 0.172 0.328 0.000

Properties
* mass density: 6.17 g cm⁻³
* space-group type: P4/mbm, No. 127
* DOS at the Fermi energy: 5.0 states/eV per cell

---

*ii*
Material: Ga2Sn2I
Method: DFT, PBE
State: optimized geometry

a b c (Å): 4.836 4.836 6.770
angles (deg): 69.07 69.07 90.00
Fractional coordinates of all 5 atoms:
1 I 0.000 0.000 0.000
2 Sn 0.750 0.250 0.500
3 Sn 0.250 0.750 0.500
4 Ga 0.392 0.392 0.216
5 Ga 0.608 0.608 0.784

Properties
* mass density: 6.12 g cm⁻³
* space-group type: I4/mmm, No. 139
* DOS at the Fermi energy: 3.2 states/eV per cell

---

What should be chosen as the most stable of them? Choose *ii*.

---

*i*
Material: GaSnI2
Method: DFT, PBE
State: optimized geometry

a b c (Å): 5.966 5.966 10.540
angles (deg): 73.56 73.56 90.00
Fractional coordinates of all 8 atoms:
1 I 0.631 0.125 0.250
2 I 0.119 0.625 0.250
3 I 0.375 0.369 0.750
4 I 0.875 0.881 0.750
5 Sn 0.000 0.000 0.000
6 Sn 0.750 0.250 0.500
7 Ga 0.500 0.500 0.000
8 Ga 0.250 0.750 0.500

Properties
* mass density: 4.27 g cm⁻³
* space-group type: I-42d, No. 122
* DOS at the Fermi energy: 7.5 states/eV per cell

---

*ii*
Material: GaSnI2
Method: DFT, PBE
State: optimized geometry

a b c (Å): 5.635 5.635 5.635
angles (deg): 60.00 60.00 60.00
Fractional coordinates of all 4 atoms:
1 I 0.250 0.250 0.250
2 I 0.750 0.750 0.750
3 Sn 0.500 0.500 0.500
4 Ga 0.000 0.000 0.000

Properties
* mass density: 5.81 g cm⁻³
* space-group type: Fm-3m, No. 225
* DOS at the Fermi energy: 1.8 states/eV per cell

---

*iii*
Material: GaSnI2
Method: DFT, PBE
State: optimized geometry

a b c (Å): 4.060 4.060 10.559
angles (deg): 78.92 78.92 60.00
Fractional coordinates of all 4 atoms:
1 I 0.099 0.099 0.702
2 I 0.901 0.901 0.298
3 Sn 0.000 0.000 0.000
4 Ga 0.500 0.500 0.500

Properties
* mass density: 5.00 g cm⁻³
* space-group type: R-3m, No. 166
* DOS at the Fermi energy: 1.4 states/eV per cell

---

What should be chosen as the most stable of them? Choose *iii*.

---

*i*
Material: GaSnTe2I
Method: DFT, PBE
State: optimized geometry

a b c (Å): 5.420 5.420 5.660
angles (deg): 90.00 90.00 90.00
Fractional coordinates of all 5 atoms:
1 I 0.000 0.000 0.500
2 Te 0.000 0.500 0.000
3 Te 0.500 0.000 0.000
4 Sn 0.500 0.500 0.500
5 Ga 0.000 0.000 0.000

Properties
* mass density: 5.70 g cm⁻³
* space-group type: P4/mmm, No. 123
* DOS at the Fermi energy: 2.7 states/eV per cell

---

*ii*
Material: GaSnTe2I
Method: DFT, PBE
State: optimized geometry

a b c (Å): 5.728 5.728 6.162
angles (deg): 90.00 90.00 90.00
Fractional coordinates of all 5 atoms:
1 I 0.000 0.000 0.500
2 Te 0.000 0.500 0.000
3 Te 0.500 0.000 0.000
4 Sn 0.000 0.000 0.000
5 Ga 0.500 0.500 0.500

Properties
* mass density: 4.69 g cm⁻³
* space-group type: P4/mmm, No. 123
* DOS at the Fermi energy: 3.6 states/eV per cell

---

What should be chosen as the most stable of them? Choose *i*.